(one)
! Re3Si, optimized geometry, DFT PBE; values from VASP
! crystal system: orthorhombic
! space group: Pmmm
&SYSTEM
  ibrav = 0, nat = 4, ntyp = 2
/
ATOMIC_SPECIES
Re 186.21 Re.upf
Si 28.09 Si.upf
CELL_PARAMETERS angstrom
-2.499 0.985 0.913
-0.282 -3.057 2.527
2.402 2.756 3.602
ATOMIC_POSITIONS angstrom
Re 1.201 1.378 1.801
Re -0.812 -0.372 2.587
Re 0.432 1.057 4.454
Si 0.000 0.000 0.000

***

(two)
! Re3Si, optimized geometry, DFT PBE; values from VASP
! crystal system: tetragonal
! space group: I4/mmm
&SYSTEM
  ibrav = 0, nat = 8, ntyp = 2
/
ATOMIC_SPECIES
Re 186.21 Re.upf
Si 28.09 Si.upf
CELL_PARAMETERS angstrom
-1.942 1.942 7.666
1.942 -1.942 7.666
1.942 1.942 -7.666
ATOMIC_POSITIONS angstrom
Re 0.000 1.942 0.000
Re 1.942 0.000 0.000
Re 0.000 0.000 1.940
Re 0.000 1.942 3.833
Si 0.000 0.000 5.819
Re 1.942 0.000 3.833
Si 0.000 0.000 9.514
Re 0.000 0.000 13.393

***

Stability verdict: (one), ahead by 19.7 kJ/mol of atoms

***

(one)
! Re3Si2, optimized geometry, DFT PBE; values from VASP
! crystal system: trigonal
! space group: P-3m1
&SYSTEM
  ibrav = 0, nat = 5, ntyp = 2
/
ATOMIC_SPECIES
Re 186.21 Re.upf
Si 28.09 Si.upf
CELL_PARAMETERS angstrom
-3.610 1.923 -0.405
2.493 -0.396 -3.244
-2.241 -4.453 -1.179
ATOMIC_POSITIONS angstrom
Re 0.000 0.000 0.000
Si -1.360 -3.237 -3.254
Re -0.269 -1.068 -2.680
Si -1.998 0.311 -1.573
Re -3.089 -1.857 -2.147

***

(two)
! Re3Si2, optimized geometry, DFT PBE; values from VASP
! crystal system: trigonal
! space group: R-3m
&SYSTEM
  ibrav = 0, nat = 5, ntyp = 2
/
ATOMIC_SPECIES
Re 186.21 Re.upf
Si 28.09 Si.upf
CELL_PARAMETERS angstrom
10.348 -1.406 0.007
10.348 1.406 0.007
10.155 0.000 2.434
ATOMIC_POSITIONS angstrom
Re 6.206 0.000 0.492
Si 18.557 0.000 1.472
Re 0.000 0.000 0.000
Re 24.644 0.000 1.955
Si 12.293 0.000 0.975

***

Stability verdict: (two), ahead by 27.2 kJ/mol of atoms

***

(one)
! ReSi4, optimized geometry, DFT PBE; values from VASP
! crystal system: tetragonal
! space group: I4/mmm
&SYSTEM
  ibrav = 0, nat = 5, ntyp = 2
/
ATOMIC_SPECIES
Re 186.21 Re.upf
Si 28.09 Si.upf
CELL_PARAMETERS angstrom
2.514 3.099 6.676
-1.771 4.496 6.095
-1.120 -5.622 -5.257
ATOMIC_POSITIONS angstrom
Re 0.000 0.000 0.000
Si 0.438 4.475 7.525
Si 0.883 0.637 3.903
Si 0.305 3.120 5.246
Si -1.260 1.336 3.612

***

(two)
! ReSi4, optimized geometry, DFT PBE; values from VASP
! crystal system: cubic
! space group: Im-3m
&SYSTEM
  ibrav = 0, nat = 5, ntyp = 2
/
ATOMIC_SPECIES
Re 186.21 Re.upf
Si 28.09 Si.upf
CELL_PARAMETERS angstrom
3.440 -1.813 2.865
-3.268 -3.425 -0.957
1.985 1.530 -4.129
ATOMIC_POSITIONS angstrom
Re 0.000 0.000 0.000
Si -1.634 -1.713 -0.479
Si 1.078 -1.854 -1.110
Si 0.993 0.765 -2.064
Si 1.720 -0.907 1.433

***

Stability verdict: (two), ahead by 2.0 kJ/mol of atoms

***

(one)
! Re3Si5, optimized geometry, DFT PBE; values from VASP
! crystal system: monoclinic
! space group: Cm
&SYSTEM
  ibrav = 0, nat = 16, ntyp = 2
/
ATOMIC_SPECIES
Si 28.09 Si.upf
Re 186.21 Re.upf
CELL_PARAMETERS angstrom
6.871 -0.012 0.012
-4.000 5.586 0.012
1.502 2.916 6.121
ATOMIC_POSITIONS angstrom
Si 0.416 2.960 1.753
Si 5.191 3.404 3.085
Re 1.935 3.783 0.016
Si 2.820 1.707 0.967
Si -1.098 7.306 5.218
Si 5.187 0.488 0.967
Re 0.520 0.986 0.004
Re 5.896 4.772 5.149
Si -0.251 6.189 3.083
Re 2.575 3.031 3.062
Si 0.480 2.971 4.372
Re 2.408 6.643 3.074
Si 1.149 6.148 5.218
Si 3.575 4.902 4.383
Si 3.603 4.844 1.765
Re -0.920 4.891 0.881

***

(two)
! Re3Si5, optimized geometry, DFT PBE; values from VASP
! crystal system: hexagonal
! space group: P6_3/mcm
&SYSTEM
  ibrav = 0, nat = 16, ntyp = 2
/
ATOMIC_SPECIES
Re 186.21 Re.upf
Si 28.09 Si.upf
CELL_PARAMETERS angstrom
-2.832 -2.222 -6.499
3.689 -4.818 4.286
-4.102 -1.189 2.194
ATOMIC_POSITIONS angstrom
Re -4.156 -1.739 -0.832
Re -2.546 -5.249 0.276
Si -0.297 -4.522 4.875
Si -2.709 -3.682 -1.807
Si -0.535 -4.547 1.788
Re -1.670 -2.728 3.279
Si -0.380 -5.601 -1.119
Si -5.210 -2.566 -3.251
Si -0.658 -3.088 -2.904
Re 1.258 -3.279 3.201
Si 1.516 -3.953 0.691
Re -0.699 -2.981 -0.295
Si -1.724 -0.845 -1.054
Si -2.865 -2.628 1.100
Si -0.116 -1.486 1.606
Re -2.778 -1.673 -3.473

***

Stability verdict: (one), ahead by 25.6 kJ/mol of atoms

***

(one)
! ReSiSn3, optimized geometry, DFT PBE; values from VASP
! crystal system: cubic
! space group: Pm-3m
&SYSTEM
  ibrav = 0, nat = 5, ntyp = 3
/
ATOMIC_SPECIES
Sn 118.71 Sn.upf
Re 186.21 Re.upf
Si 28.09 Si.upf
CELL_PARAMETERS angstrom
-4.095 -0.314 2.981
-0.526 -4.894 -1.238
2.951 -1.308 3.916
ATOMIC_POSITIONS angstrom
Sn 1.476 -0.654 1.958
Re -0.835 -3.258 2.830
Sn -2.048 -0.157 1.491
Si 0.000 0.000 0.000
Sn -0.263 -2.447 -0.619

***

(two)
! ReSiSn3, optimized geometry, DFT PBE; values from VASP
! crystal system: cubic
! space group: Pm-3m
&SYSTEM
  ibrav = 0, nat = 5, ntyp = 3
/
ATOMIC_SPECIES
Re 186.21 Re.upf
Sn 118.71 Sn.upf
Si 28.09 Si.upf
CELL_PARAMETERS angstrom
5.200 0.000 0.000
0.000 5.200 0.000
0.000 0.000 5.200
ATOMIC_POSITIONS angstrom
Re 0.000 0.000 0.000
Sn 2.600 0.000 0.000
Sn 0.000 0.000 2.600
Si 2.600 2.600 2.600
Sn 0.000 2.600 0.000

***

Stability verdict: (two), ahead by 65.9 kJ/mol of atoms

***

(one)
! Re2SiSn, optimized geometry, DFT PBE; values from VASP
! crystal system: cubic
! space group: Fm-3m
&SYSTEM
  ibrav = 0, nat = 4, ntyp = 3
/
ATOMIC_SPECIES
Si 28.09 Si.upf
Re 186.21 Re.upf
Sn 118.71 Sn.upf
CELL_PARAMETERS angstrom
0.000 3.141 3.141
3.141 0.000 3.141
3.141 3.141 0.000
ATOMIC_POSITIONS angstrom
Si 0.000 0.000 0.000
Re 1.570 1.570 1.570
Re 4.711 4.711 4.711
Sn 3.141 3.141 3.141

***

(two)
! Re2SiSn, optimized geometry, DFT PBE; values from VASP
! crystal system: tetragonal
! space group: I-42d
&SYSTEM
  ibrav = 0, nat = 8, ntyp = 3
/
ATOMIC_SPECIES
Si 28.09 Si.upf
Re 186.21 Re.upf
Sn 118.71 Sn.upf
CELL_PARAMETERS angstrom
4.099 0.000 0.000
0.000 4.099 0.000
2.050 2.050 8.902
ATOMIC_POSITIONS angstrom
Si 2.050 4.099 4.451
Re 5.124 4.781 6.677
Sn 0.000 0.000 0.000
Re 3.074 3.417 6.677
Sn 4.099 2.050 4.451
Re 2.732 1.025 2.226
Re 1.368 3.074 2.226
Si 2.050 2.050 0.000

***

Stability verdict: (one), ahead by 21.7 kJ/mol of atoms

***

(one)
! TbRe3Si3, optimized geometry, DFT PBE; values from VASP
! crystal system: monoclinic
! space group: P2_1/m
&SYSTEM
  ibrav = 0, nat = 14, ntyp = 3
/
ATOMIC_SPECIES
Re 186.21 Re.upf
Si 28.09 Si.upf
Tb 158.93 Tb.upf
CELL_PARAMETERS angstrom
4.196 0.000 0.000
0.000 5.713 -4.596
0.000 0.232 9.818
ATOMIC_POSITIONS angstrom
Re 3.147 5.071 5.560
Si 3.147 4.628 -1.677
Re 3.147 0.301 7.663
Tb 3.147 1.820 4.814
Si 3.147 2.256 -0.876
Re 1.049 0.874 -0.339
Si 1.049 1.317 6.898
Re 3.147 1.548 1.464
Si 3.147 3.690 2.533
Si 1.049 3.689 6.098
Tb 1.049 4.125 0.408
Si 1.049 2.256 2.688
Re 1.049 4.398 3.758
Re 1.049 5.644 -2.442

***

(two)
! TbRe3Si3, optimized geometry, DFT PBE; values from VASP
! crystal system: cubic
! space group: Pm-3n
&SYSTEM
  ibrav = 0, nat = 14, ntyp = 3
/
ATOMIC_SPECIES
Si 28.09 Si.upf
Re 186.21 Re.upf
Tb 158.93 Tb.upf
CELL_PARAMETERS angstrom
-5.646 0.231 -3.427
-3.338 -1.919 5.371
-0.807 6.320 1.756
ATOMIC_POSITIONS angstrom
Si -3.025 1.695 -1.274
Re -1.815 3.218 0.021
Tb 0.000 0.000 0.000
Si -5.904 -0.786 0.115
Si -2.907 1.721 4.906
Re -1.871 0.620 3.124
Si -3.081 -0.902 1.829
Si -1.238 2.680 2.221
Si -3.428 4.855 -0.396
Re -3.658 -0.364 -0.371
Re -4.638 3.333 -1.692
Re -2.275 3.780 4.002
Tb -4.896 2.316 1.850
Re -5.327 -1.324 2.315

***

Stability verdict: (one), ahead by 76.6 kJ/mol of atoms

***

(one)
! ReSi2Tc, optimized geometry, DFT PBE; values from VASP
! crystal system: tetragonal
! space group: P4mm
&SYSTEM
  ibrav = 0, nat = 4, ntyp = 3
/
ATOMIC_SPECIES
Si 28.09 Si.upf
Re 186.21 Re.upf
Tc 98.00 Tc.upf
CELL_PARAMETERS angstrom
-1.368 -0.492 2.756
2.407 -1.773 0.878
2.559 4.501 2.073
ATOMIC_POSITIONS angstrom
Si 2.555 4.494 2.070
Si 1.166 0.005 2.341
Re 2.547 2.434 3.460
Tc 1.168 2.055 0.946

***

(two)
! ReSi2Tc, optimized geometry, DFT PBE; values from VASP
! crystal system: trigonal
! space group: R3m
&SYSTEM
  ibrav = 0, nat = 4, ntyp = 3
/
ATOMIC_SPECIES
Re 186.21 Re.upf
Si 28.09 Si.upf
Tc 98.00 Tc.upf
CELL_PARAMETERS angstrom
-2.048 7.519 -1.943
-3.171 6.080 -4.182
-4.662 6.311 -1.718
ATOMIC_POSITIONS angstrom
Re -7.379 14.868 -5.857
Si -9.879 19.906 -7.842
Tc -4.979 10.031 -3.952
Si -2.466 4.969 -1.957

***

(three)
! ReSi2Tc, optimized geometry, DFT PBE; values from VASP
! crystal system: trigonal
! space group: R-3m
&SYSTEM
  ibrav = 0, nat = 4, ntyp = 3
/
ATOMIC_SPECIES
Si 28.09 Si.upf
Tc 98.00 Tc.upf
Re 186.21 Re.upf
CELL_PARAMETERS angstrom
8.036 0.016 0.010
7.526 2.817 0.010
7.526 1.370 2.462
ATOMIC_POSITIONS angstrom
Si 11.562 2.105 1.242
Si 23.071 4.201 2.479
Tc 5.772 1.051 0.620
Re 17.317 3.153 1.861

***

Stability verdict: (one), ahead by 25.8 kJ/mol of atoms

***

(one)
! ReSi4Tc, optimized geometry, DFT PBE; values from VASP
! crystal system: cubic
! space group: F-43m
&SYSTEM
  ibrav = 0, nat = 6, ntyp = 3
/
ATOMIC_SPECIES
Tc 98.00 Tc.upf
Re 186.21 Re.upf
Si 28.09 Si.upf
CELL_PARAMETERS angstrom
1.929 0.013 4.389
-2.390 1.964 3.663
-1.840 -2.793 3.435
ATOMIC_POSITIONS angstrom
Tc -1.726 -0.612 8.615
Re 0.000 0.000 0.000
Si -2.057 0.675 6.139
Si -0.863 -0.306 4.308
Si 0.101 -0.300 6.502
Si -1.782 -1.702 6.025

***

(two)
! ReSi4Tc, optimized geometry, DFT PBE; values from VASP
! crystal system: monoclinic
! space group: P2/m
&SYSTEM
  ibrav = 0, nat = 6, ntyp = 3
/
ATOMIC_SPECIES
Si 28.09 Si.upf
Re 186.21 Re.upf
Tc 98.00 Tc.upf
CELL_PARAMETERS angstrom
2.913 0.000 0.000
0.000 5.468 -0.068
0.000 0.078 6.817
ATOMIC_POSITIONS angstrom
Si 2.913 1.242 1.451
Re 0.000 2.773 3.374
Si 1.456 3.958 1.851
Si 1.456 1.588 4.898
Si 0.000 4.305 5.298
Tc 1.456 0.000 0.000

***

Stability verdict: (two), ahead by 43.0 kJ/mol of atoms

***

(one)
! Re3SiTc, optimized geometry, DFT PBE; values from VASP
! crystal system: cubic
! space group: Pm-3m
&SYSTEM
  ibrav = 0, nat = 5, ntyp = 3
/
ATOMIC_SPECIES
Tc 98.00 Tc.upf
Re 186.21 Re.upf
Si 28.09 Si.upf
CELL_PARAMETERS angstrom
-1.931 0.254 4.241
3.410 -2.687 1.714
2.535 3.808 0.926
ATOMIC_POSITIONS angstrom
Tc 0.000 0.000 0.000
Re -0.966 0.127 2.120
Re 1.267 1.904 0.463
Re 1.705 -1.343 0.857
Si 2.006 0.688 3.440

***

(two)
! Re3SiTc, optimized geometry, DFT PBE; values from VASP
! crystal system: cubic
! space group: Pm-3m
&SYSTEM
  ibrav = 0, nat = 5, ntyp = 3
/
ATOMIC_SPECIES
Re 186.21 Re.upf
Si 28.09 Si.upf
Tc 98.00 Tc.upf
CELL_PARAMETERS angstrom
4.350 0.000 0.000
0.000 4.350 0.000
0.000 0.000 4.350
ATOMIC_POSITIONS angstrom
Re 0.000 2.175 0.000
Re 0.000 0.000 2.175
Si 0.000 0.000 0.000
Tc 2.175 2.175 2.175
Re 2.175 0.000 0.000

***

Stability verdict: (two), ahead by 98.5 kJ/mol of atoms

***

(one)
! ReSi2Te2, optimized geometry, DFT PBE; values from VASP
! crystal system: tetragonal
! space group: I4/mmm
&SYSTEM
  ibrav = 0, nat = 5, ntyp = 3
/
ATOMIC_SPECIES
Re 186.21 Re.upf
Te 127.60 Te.upf
Si 28.09 Si.upf
CELL_PARAMETERS angstrom
5.377 0.000 0.000
0.000 5.377 0.000
2.688 2.688 3.604
ATOMIC_POSITIONS angstrom
Re 0.000 0.000 0.000
Te 5.377 2.688 1.802
Te 2.688 5.377 1.802
Si 2.688 2.688 1.146
Si 5.377 5.377 2.458

***

(two)
! ReSi2Te2, optimized geometry, DFT PBE; values from VASP
! crystal system: tetragonal
! space group: P4/mbm
&SYSTEM
  ibrav = 0, nat = 10, ntyp = 3
/
ATOMIC_SPECIES
Si 28.09 Si.upf
Te 127.60 Te.upf
Re 186.21 Re.upf
CELL_PARAMETERS angstrom
-3.833 2.191 4.785
-2.005 -6.080 1.178
3.443 -0.552 3.010
ATOMIC_POSITIONS angstrom
Si -2.702 0.572 3.195
Te 0.160 -0.787 3.197
Re -2.919 -1.945 2.981
Te -0.415 -4.072 3.253
Te -2.555 -3.654 5.776
Te -1.980 -0.370 5.721
Si -4.589 -1.963 4.888
Si -1.249 -1.926 1.075
Si -3.135 -4.461 2.768
Re 0.000 0.000 0.000

***

Stability verdict: (two), ahead by 31.6 kJ/mol of atoms

***

(one)
! Tl2ReSiTe, optimized geometry, DFT PBE; values from VASP
! crystal system: tetragonal
! space group: P4/mmm
&SYSTEM
  ibrav = 0, nat = 5, ntyp = 4
/
ATOMIC_SPECIES
Si 28.09 Si.upf
Te 127.60 Te.upf
Tl 204.38 Tl.upf
Re 186.21 Re.upf
CELL_PARAMETERS angstrom
5.490 0.000 0.000
0.000 4.636 0.000
0.000 0.000 5.490
ATOMIC_POSITIONS angstrom
Si 0.000 2.318 0.000
Te 2.745 2.318 2.745
Tl 2.745 0.000 0.000
Tl 0.000 0.000 2.745
Re 0.000 0.000 0.000

***

(two)
! Tl2ReSiTe, optimized geometry, DFT PBE; values from VASP
! crystal system: tetragonal
! space group: P4/mmm
&SYSTEM
  ibrav = 0, nat = 5, ntyp = 4
/
ATOMIC_SPECIES
Tl 204.38 Tl.upf
Re 186.21 Re.upf
Si 28.09 Si.upf
Te 127.60 Te.upf
CELL_PARAMETERS angstrom
6.290 0.000 0.000
0.000 5.109 0.000
0.000 0.000 6.290
ATOMIC_POSITIONS angstrom
Tl 0.000 0.000 3.145
Tl 3.145 0.000 0.000
Re 3.145 2.555 3.145
Si 0.000 2.555 0.000
Te 0.000 0.000 0.000

***

Stability verdict: (one), ahead by 118.7 kJ/mol of atoms